Material: SbAs2WO
Method: DFT, GGA+U
State: optimized geometry

- final energy (eV for the cell shown) = -26.39
- V (Å³ per cell) = 103.2
- spin magnetization (μB per formula unit) = 0.9

Lattice parameters (Å, degrees): 5.198 5.198 3.818 90.00 90.00 90.00
Positions (direct):
Sb: 0.000 0.000 0.000
As: 0.000 0.500 0.500
As: 0.500 0.000 0.500
W: 0.500 0.500 0.500
O: 0.500 0.500 0.000